(1)
A relaxed KFe2Sb crystal, computed with GGA-PBE.

The structure in extended XYZ format:
```
4
Lattice="-2.085 5.347 -3.651 -1.388 2.031 -6.342 -5.031 2.200 -4.015" Properties=species:S:1:pos:R:3 pbc="T T T"
Fe -2.701 3.042 -4.449
K -4.295 4.838 -7.075
Fe -8.392 9.452 -13.824
Sb -5.872 6.615 -9.673
```

## Properties
M_tot = 4.54 μB/f.u.
formation energy without anion corrections = 0.8 eV per formula unit
energy above the most stable polymorph in this dataset = 0 meV/atom

(2)
A relaxed KFeSb crystal, computed with GGA-PBE.

The structure in extended XYZ format:
```
3
Lattice="-2.955 -2.113 -3.270 1.889 -2.634 -3.659 -0.526 -4.859 -0.038" Properties=species:S:1:pos:R:3 pbc="T T T"
Fe -1.194 -7.204 -5.225
K 0.000 0.000 0.000
Sb -0.796 -4.803 -3.483
```

## Properties
M_tot = 3.69 μB/f.u.
formation energy without anion corrections = 1.6 eV per formula unit

(3)
A relaxed K2FeSb crystal, computed with GGA-PBE.

The structure in extended XYZ format:
```
4
Lattice="-1.490 -4.997 -3.616 2.844 -5.227 -2.204 -1.031 -3.664 2.570" Properties=species:S:1:pos:R:3 pbc="T T T"
K 0.161 -6.942 -1.623
Sb 0.081 -3.472 -0.813
Fe 0.243 -10.416 -2.438
K -1.031 -3.666 2.567
```

## Properties
M_tot = 3.05 μB/f.u.
formation energy without anion corrections = 1.9 eV per formula unit

(4)
A relaxed KFeSb2 crystal, computed with GGA-PBE.

The structure in extended XYZ format:
```
4
Lattice="4.683 1.013 1.393 0.937 1.574 4.641 2.347 -2.998 3.225" Properties=species:S:1:pos:R:3 pbc="T T T"
Fe 3.984 -0.206 4.629
Sb 1.992 -0.103 2.315
K 0.000 0.000 0.000
Sb 5.975 -0.308 6.944
```

## Properties
M_tot = 0.00 μB/f.u.
formation energy without anion corrections = 2.3 eV per formula unit
energy above the most stable polymorph in this dataset = 637 meV/atom

(5)
A relaxed KFe3Sb crystal, computed with GGA-PBE.

The structure in extended XYZ format:
```
5
Lattice="-0.016 -4.044 -2.234 3.093 1.650 -3.009 3.432 -1.506 2.702" Properties=species:S:1:pos:R:3 pbc="T T T"
Fe 1.546 0.825 -1.505
Sb 3.255 -1.950 -1.271
Fe -0.008 -2.022 -1.117
Fe 1.716 -0.753 1.351
K 0.000 0.000 0.000
```

## Properties
M_tot = 8.25 μB/f.u.
formation energy without anion corrections = 10.9 eV per formula unit
energy above the most stable polymorph in this dataset = 1114 meV/atom

(6)
A relaxed KFe2Sb crystal, computed with GGA-PBE.

The structure in extended XYZ format:
```
4
Lattice="9.989 0.125 0.073 9.455 3.226 0.073 9.455 1.629 2.785" Properties=species:S:1:pos:R:3 pbc="T T T"
Fe 13.990 2.411 1.419
Sb 21.675 3.735 2.199
K 7.225 1.245 0.733
Fe 0.459 0.079 0.047
```

## Properties
M_tot = 4.62 μB/f.u.
formation energy without anion corrections = 3.6 eV per formula unit
energy above the most stable polymorph in this dataset = 701 meV/atom

(7)
A relaxed KFeSb2 crystal, computed with GGA-PBE.

The structure in extended XYZ format:
```
4
Lattice="5.930 0.016 0.000 2.492 5.381 0.000 -4.211 -2.699 3.186" Properties=species:S:1:pos:R:3 pbc="T T T"
Sb 0.000 0.000 0.000
Fe 4.211 2.699 0.000
Sb 1.246 2.690 1.593
K 2.965 0.008 1.593
```

## Properties
M_tot = 3.09 μB/f.u.
formation energy without anion corrections = 2.1 eV per formula unit
energy above the most stable polymorph in this dataset = 582 meV/atom

(8)
A relaxed KFeSb2 crystal, computed with GGA-PBE.

The structure in extended XYZ format:
```
4
Lattice="-2.801 5.751 0.779 -5.449 3.407 0.472 -1.025 0.385 5.890" Properties=species:S:1:pos:R:3 pbc="T T T"
Fe -4.916 5.179 2.865
Sb -8.160 8.950 2.067
K -7.141 7.377 5.273
Sb -1.946 1.968 1.757
```

## Properties
M_tot = 2.17 μB/f.u.
formation energy without anion corrections = 0.8 eV per formula unit
energy above the most stable polymorph in this dataset = 250 meV/atom

(9)
A relaxed KFeSb2 crystal, computed with GGA-PBE.

The structure in extended XYZ format:
```
4
Lattice="-1.040 -4.286 -1.327 -0.451 -1.261 4.424 -6.506 0.950 2.028" Properties=species:S:1:pos:R:3 pbc="T T T"
Sb -0.739 0.100 0.255
Sb -3.036 -2.283 1.759
K -5.966 -2.233 3.892
Fe -1.734 -0.336 2.444
```

## Properties
M_tot = 1.92 μB/f.u.
formation energy without anion corrections = 0.4 eV per formula unit
energy above the most stable polymorph in this dataset = 148 meV/atom

(10)
A relaxed KFeSb2 crystal, computed with GGA-PBE.

The structure in extended XYZ format:
```
4
Lattice="-5.317 -5.134 0.242 2.955 1.550 4.881 -2.663 0.929 1.315" Properties=species:S:1:pos:R:3 pbc="T T T"
Fe 0.146 1.240 3.098
Sb -3.990 -2.102 0.778
Sb 0.000 0.000 0.000
K -1.181 -1.792 2.561
```

## Properties
M_tot = 3.24 μB/f.u.
formation energy without anion corrections = 1.8 eV per formula unit
energy above the most stable polymorph in this dataset = 507 meV/atom

(11)
A relaxed KFeSb2 crystal, computed with GGA-PBE.

The structure in extended XYZ format:
```
4
Lattice="3.420 0.000 0.000 0.000 3.420 0.000 0.000 0.000 9.753" Properties=species:S:1:pos:R:3 pbc="T T T"
Sb 0.000 0.000 0.294
Fe 0.000 0.000 2.852
Sb 1.710 1.710 4.022
K 1.710 1.710 7.461
```

## Properties
M_tot = 2.90 μB/f.u.
formation energy without anion corrections = 0.6 eV per formula unit
energy above the most stable polymorph in this dataset = 219 meV/atom

(12)
A relaxed KFe2Sb crystal, computed with GGA-PBE.

The structure in extended XYZ format:
```
4
Lattice="-0.782 -2.951 2.240 2.561 0.628 1.721 -4.355 4.538 4.457" Properties=species:S:1:pos:R:3 pbc="T T T"
K -1.217 2.422 2.766
Sb -1.778 2.848 6.331
Fe 0.141 -0.742 2.272
Fe 1.941 0.898 1.861
```

## Properties
M_tot = 4.83 μB/f.u.
formation energy without anion corrections = 1.3 eV per formula unit
energy above the most stable polymorph in this dataset = 119 meV/atom

- Which of these has the lowest formation energy without anion corrections?
  number 9

- Which of these has the highest M_tot?
  KFe3Sb

- Among the records above, which one has the highest formation energy without anion corrections?
  KFe3Sb

- Which value of M_tot does entry 5 give?
  8.25 μB/f.u.